## Sc3BeAg (PBE)

Data for crystalline Sc3BeAg at its relaxed geometry.

Summary:
energy relative to the elements: 0.81 eV per atom
ρ: 3.10 g/cm³
polymorph energy (0 for the lowest one): 537 meV/atom

a b c (Å): 5.1261 5.1261 5.1261
angles (deg): 90.00 90.00 90.00
Positions (direct):
Sc: 0.0000 0.5000 0.0000
Sc: 0.0000 0.0000 0.5000
Sc: 0.5000 0.0000 0.0000
Be: 0.5000 0.5000 0.5000
Ag: 0.0000 0.0000 0.0000

***

## CaMgFe2 (PBE)

Data for crystalline CaMgFe2 at its relaxed geometry.

Summary:
energy relative to the elements: 0.66 eV per atom
ρ: 4.05 g/cm³

a b c (Å): 9.5523 9.5523 9.5523
angles (deg): 17.94 17.94 17.94
Positions (direct):
Ca: 0.7500 0.7500 0.7500
Fe: 0.9962 0.9962 0.9962
Fe: 0.5038 0.5038 0.5038
Mg: 0.2500 0.2500 0.2500

***

## MgBeMo2 (PBE)

Data for crystalline MgBeMo2 at its relaxed geometry.

Summary:
energy relative to the elements: 0.32 eV per atom
ρ: 6.31 g/cm³
polymorph energy (0 for the lowest one): 121 meV/atom

a b c (Å): 5.0158 5.0158 5.0158
angles (deg): 136.37 136.37 63.41
Positions (direct):
Be: 0.2500 0.7500 0.5000
Mo: 0.0000 0.0000 0.0000
Mo: 0.5000 0.5000 0.0000
Mg: 0.7500 0.2500 0.5000

***

## LiTc3Ir (PBE)

Data for crystalline LiTc3Ir at its relaxed geometry.

Summary:
energy relative to the elements: 1.60 eV per atom
ρ: 7.64 g/cm³
polymorph energy (0 for the lowest one): 612 meV/atom

a b c (Å): 4.7509 4.7509 4.7509
angles (deg): 90.00 90.00 90.00
Positions (direct):
Ir: 0.0000 0.0000 0.0000
Tc: 0.0000 0.5000 0.0000
Tc: 0.0000 0.0000 0.5000
Tc: 0.5000 0.0000 0.0000
Li: 0.5000 0.5000 0.5000